A relaxed MnGa3Os crystal. Source: the Alexandria database, functional PBE-GGA.

energy of formation: 0.4312 eV/atom
DFT total energy: -27.324 eV for the cell shown
total moment: 5.5 μB/f.u.
distance to the lowest polymorph of the same formula: 0 meV per atom

a = 4.8578 Å, b = 4.8578 Å, c = 4.8578 Å
α = 90.00°, β = 90.00°, γ = 90.00°
Space group Pm-3m (No. 221)
Symmetry-distinct sites (fractional):
Mn 0.0000 0.0000 0.0000 x1
Ga 0.0000 0.5000 0.5000 x3
Os 0.5000 0.5000 0.5000 x1